A geometry-optimized ZnPRhSe structure. Source: Alexandria, functional PBE.

Cell: 4.903 3.537 9.512 Å, 90.00 96.40 90.00°
Sites, in units of the cell vectors:
Zn (0.847, 0.000, 0.554)
Zn (0.847, 0.500, 0.054)
P (0.953, 0.000, 0.322)
P (0.953, 0.500, 0.822)
Rh (0.205, 0.000, 0.761)
Rh (0.205, 0.500, 0.261)
Se (0.534, 0.000, 0.167)
Se (0.534, 0.500, 0.667)

## Properties
- Distance to the lowest polymorph of the same formula: 163 meV/atom
- Space group: Cm, No. 8
- M_tot: 0.000 μB per formula unit
- ΔE_f (raw): -0.9 eV per formula unit
- Crystal system: monoclinic